Record 1
# TcMoPb2

Crystalline TcMoPb2 at its relaxed geometry (GGA-PBE, OQMD).

Cell lengths 4.8611, 4.8611, 4.8611 Å; angles 60.00, 60.00, 60.00 degrees
Closest atoms and distances in Å follow each position.
Element x y z (fractional)
Tc 0.0000 0.0000 0.0000  4 Mo 2.98, 4 Pb 2.98
Pb 0.5000 0.5000 0.5000  4 Mo 2.98, 4 Pb 2.98
Mo 0.7500 0.7500 0.7500  4 Tc 2.98, 4 Pb 2.98
Pb 0.2500 0.2500 0.2500  4 Pb 2.98, 4 Tc 2.98

Properties
Crystal system   cubic
Energy   -6.264 eV per atom

Record 2
# TlMo3Pb5

Crystalline TlMo3Pb5 at its relaxed geometry (GGA-PBE, OQMD).

Cell lengths 5.5917, 5.5917, 8.7808 Å; angles 90.00, 90.00, 120.00 degrees
Closest atoms and distances in Å follow each position.
Element x y z (fractional)
Pb 0.6667 0.3333 0.2109  3 Mo 3.01, 3 Pb 3.23
Mo 0.5000 0.5000 0.5000  4 Mo 2.80, 6 Pb 2.80-3.01
Pb 0.3333 0.6667 0.2109  3 Mo 3.01, 3 Pb 3.23
Mo 0.0000 0.5000 0.5000  6 Pb 2.80-3.01, 4 Mo 2.80
Pb 0.3333 0.6667 0.7891  3 Mo 3.01, 3 Pb 3.23
Pb 0.6667 0.3333 0.7891  3 Mo 3.01, 3 Pb 3.23
Tl 0.0000 0.0000 0.0000  12 Pb 3.72
Pb 0.0000 0.0000 0.5000  6 Mo 2.80
Mo 0.5000 0.0000 0.5000  4 Mo 2.80, 6 Pb 2.80-3.01

Properties
Crystal system   hexagonal
Energy   -5.583 eV per atom

Record 3
# TmMoPb

Crystalline TmMoPb at its relaxed geometry (GGA-PBE, OQMD).

Cell lengths 4.9426, 4.9426, 4.9426 Å; angles 60.00, 60.00, 60.00 degrees
Closest atoms and distances in Å follow each position.
Element x y z (fractional)
Mo 0.2500 0.2500 0.2500  4 Tm 3.03
Pb 0.7500 0.7500 0.7500  4 Tm 3.03
Tm 0.0000 0.0000 0.0000  4 Pb 3.03, 4 Mo 3.03

Properties
Energy above the lowest structure with this stoichiometry   412 meV/atom
Crystal system   cubic
Energy   -5.274 eV per atom

Record 4
# TmMoPb

Crystalline TmMoPb at its relaxed geometry (GGA-PBE, OQMD).

Cell lengths 4.7729, 4.7729, 4.7729 Å; angles 60.00, 60.00, 60.00 degrees
Closest atoms and distances in Å follow each position.
Element x y z (fractional)
Mo 0.2500 0.2500 0.2500  4 Pb 2.92
Tm 0.7500 0.7500 0.7500  4 Pb 2.92
Pb 0.0000 0.0000 0.0000  4 Tm 2.92, 4 Mo 2.92

Properties
Energy above the lowest structure with this stoichiometry   0 meV/atom
Crystal system   cubic
Energy   -5.686 eV per atom

Record 5
# UMoPb

Crystalline UMoPb at its relaxed geometry (GGA-PBE, OQMD).

Cell lengths 4.7206, 4.7206, 4.7206 Å; angles 60.00, 60.00, 60.00 degrees
Closest atoms and distances in Å follow each position.
Element x y z (fractional)
Mo 0.0000 0.0000 0.0000  4 U 2.89, 4 Pb 2.89
Pb 0.2500 0.2500 0.2500  4 Mo 2.89
U 0.7500 0.7500 0.7500  4 Mo 2.89

Properties
Energy above the lowest structure with this stoichiometry   0 meV/atom
Crystal system   cubic
Energy   -7.853 eV per atom

Record 6
# UMoPb

Crystalline UMoPb at its relaxed geometry (GGA-PBE, OQMD).

Cell lengths 4.8271, 4.8271, 4.8271 Å; angles 60.00, 60.00, 60.00 degrees
Closest atoms and distances in Å follow each position.
Element x y z (fractional)
Mo 0.0000 0.0000 0.0000  4 U 2.96
Pb 0.5000 0.5000 0.5000  4 U 2.96
U 0.2500 0.2500 0.2500  4 Mo 2.96, 4 Pb 2.96

Properties
Energy above the lowest structure with this stoichiometry   652 meV/atom
Crystal system   cubic
Energy   -7.201 eV per atom